<a>
Entry from the Alexandria database: VSCl2O after structural relaxation (PBE+U).

Structure (POSCAR):
```
VSCl2O
1.0
4.747 0.000 0.000
0.000 4.747 0.000
0.000 0.000 4.605
V S Cl O
1 1 2 1
Direct
0.000 0.000 0.000
0.000 0.000 0.500
0.000 0.500 0.000
0.500 0.000 0.000
0.500 0.500 0.500
```

Output
V, Å³/atom: 20.75
Magnetization, μB/cell: 0.00
Symmetry: P4/mmm, No. 123


<b>
Entry from the Alexandria database: VSCl2O after structural relaxation (PBE+U).

Structure (POSCAR):
```
VSCl2O
1.0
4.463 0.000 0.000
0.000 4.463 0.000
0.000 0.000 4.338
V S Cl O
1 1 2 1
Direct
0.000 0.000 0.000
0.500 0.500 0.000
0.000 0.500 0.500
0.500 0.000 0.500
0.500 0.500 0.500
```

Output
V, Å³/atom: 17.28
Magnetization, μB/cell: 1.69
Symmetry: P4/mmm, No. 123


Most stable to least stable, the ends of the list are <a> and <b>.


<a>
Entry from the Alexandria database: WS2ClO after structural relaxation (PBE+U).

Structure (POSCAR):
```
WS2ClO
1.0
3.937 0.000 0.000
0.000 3.937 0.000
0.000 0.000 5.746
W S Cl O
1 2 1 1
Direct
0.000 0.000 0.000
0.000 0.500 0.500
0.500 0.000 0.500
0.500 0.500 0.000
0.500 0.500 0.500
```

Output
V, Å³/atom: 17.81
Magnetization, μB/cell: 3.64
Symmetry: P4/mmm, No. 123


<b>
Entry from the Alexandria database: WS2ClO after structural relaxation (PBE+U).

Structure (POSCAR):
```
WS2ClO
1.0
4.664 0.000 0.000
0.000 4.664 0.000
0.000 0.000 4.839
W S Cl O
1 2 1 1
Direct
0.000 0.000 0.000
0.000 0.500 0.000
0.500 0.000 0.000
0.000 0.000 0.500
0.500 0.500 0.500
```

Output
V, Å³/atom: 21.05
Magnetization, μB/cell: 0.21
Symmetry: P4/mmm, No. 123


Most stable to least stable, the ends of the list are <a> and <b>.